# Sm2ReN3

A relaxed Sm2ReN3 crystal (GGA-PBE, Alexandria).

Lattice parameters (Å, degrees): 3.452 3.895 6.902 106.39 104.48 90.00
Fractional positions:
Sm 0.650 0.650 0.299
Sm 0.350 0.350 0.701
Re 0.000 0.000 0.000
N 0.000 0.500 0.000
N 0.839 0.839 0.678
N 0.161 0.161 0.322

Properties
- final energy (eV per atom) = -8.860
- space group = Immm (71)
- magnetization (μB per atom) = 0.00
- calculated density (g cm⁻³) = 10.22
- energy relative to the elements, uncorrected (eV per atom) = -1.0492